Na3Zr3NiO8 | PBE with a Hubbard U | optimized geometry

Output
- energy (eV per atom) = -7.19
- SG = No. 166
- density (kg/m3) = 4458
- V (Å³ per cell) = 197.1

a b c (Å): 6.6924 6.6924 6.6924
angles (deg): 56.97 56.97 56.97
Positions (direct):
Na  0.0000  0.5000  0.5000
Na  0.5000  0.0000  0.5000
Na  0.5000  0.5000  0.0000
Zr  0.0000  0.0000  0.5000
Zr  0.0000  0.5000  0.0000
Zr  0.5000  0.0000  0.0000
Ni  0.5000  0.5000  0.5000
O  0.2337  0.7323  0.7323
O  0.2395  0.2395  0.2395
O  0.2677  0.2677  0.7663
O  0.2677  0.7663  0.2677
O  0.7323  0.2337  0.7323
O  0.7323  0.7323  0.2337
O  0.7605  0.7605  0.7605
O  0.7663  0.2677  0.2677

=====

Na2ZrNiO4 | PBE with a Hubbard U | optimized geometry

Output
- energy (eV per atom) = -6.32
- SG = No. 10
- density (kg/m3) = 4537
- V (Å³ per cell) = 95.1

a b c (Å): 5.4026 3.2064 5.7948
angles (deg): 90.00 108.62 90.00
Positions (direct):
Na  0.0000  0.0000  0.0000
Na  0.5000  0.5000  0.0000
Zr  0.0000  0.5000  0.5000
Ni  0.5000  0.0000  0.5000
O  0.2274  0.0000  0.7120
O  0.2613  0.5000  0.2960
O  0.7387  0.5000  0.7040
O  0.7726  0.0000  0.2880

=====

Na3ZrNi2O6 | PBE with a Hubbard U | optimized geometry

Output
- energy (eV per atom) = -5.72
- SG = No. 12
- density (kg/m3) = 4545
- V (Å³ per cell) = 136.5

a b c (Å): 5.3387 5.3387 5.7764
angles (deg): 99.30 99.30 119.01
Positions (direct):
Na  0.0000  0.0000  0.0000
Na  0.3265  0.6735  0.0000
Na  0.6735  0.3265  0.0000
Zr  0.5000  0.5000  0.5000
Ni  0.1674  0.8326  0.5000
Ni  0.8326  0.1674  0.5000
O  0.0996  0.4389  0.2915
O  0.2269  0.2269  0.7026
O  0.4389  0.0996  0.2915
O  0.5611  0.9004  0.7085
O  0.7731  0.7731  0.2974
O  0.9004  0.5611  0.7085